DFT (PBE-GGA) results for a relaxed structure of Li3ZnAu6.

POSCAR file:
```
Li3ZnAu6
1.0
-0.8976 2.3657 3.9722
1.1839 -6.2657 3.9992
8.2706 5.6304 -1.4843
Li Zn Au
6 2 12
Direct
0.2500 0.5484 0.3709 Li
0.7500 0.4516 0.6291 Li
0.2500 0.3714 0.7752 Li
0.7500 0.6286 0.2248 Li
0.2500 0.7760 0.9772 Li
0.7500 0.2240 0.0228 Li
0.2500 0.9655 0.5753 Zn
0.7500 0.0345 0.4247 Zn
0.2500 0.4694 0.0726 Au
0.7500 0.5306 0.9274 Au
0.2500 0.1638 0.1671 Au
0.7500 0.8362 0.8329 Au
0.2500 0.6601 0.6669 Au
0.7500 0.3399 0.3331 Au
0.2500 0.2605 0.4838 Au
0.7500 0.7395 0.5162 Au
0.2500 0.8537 0.2835 Au
0.7500 0.1463 0.7165 Au
0.2500 0.0735 0.8648 Au
0.7500 0.9265 0.1352 Au
```

Results
Formation energy from the elements, eV per atom: -0.40
Space-group type: P2_1/m, No. 11
Energy, eV per cell: -61.4